Record 1
Compound: KPa2Ag2Te6
Source: the Alexandria database
Functional: PBE
Structure: optimized geometry

Cell and atoms, written as CIF:
```
data_KPa2Ag2Te6
_space_group_name_H-M_alt 'P -1'
_space_group_IT_number 2
_space_group_name_Hall '-P 1'
_cell_length_a 7.973
_cell_length_b 8.015
_cell_length_c 8.290
_cell_angle_alpha 65.45
_cell_angle_beta 66.09
_cell_angle_gamma 61.22
loop_
_atom_site_label
_atom_site_type_symbol
_atom_site_fract_x
_atom_site_fract_y
_atom_site_fract_z
_atom_site_occupancy
K1 K 0.000 0.000 0.000 1
Pa1 Pa 0.340 0.333 0.988 1
Ag1 Ag 0.314 0.561 0.439 1
Te1 Te 0.053 0.455 0.764 1
Te2 Te 0.312 0.937 0.240 1
Te3 Te 0.431 0.707 0.765 1
```

Results
formation energy from raw total energies = -0.63 eV per atom
density = 6.03 g/cm3
total DFT energy (no corrections) = -4.69 eV per atom
crystal system = triclinic



Record 2
Compound: KPaAgTe3
Source: the Alexandria database
Functional: PBE
Structure: optimized geometry

Cell and atoms, written as CIF:
```
data_KPaAgTe3
_space_group_name_H-M_alt 'P 1 21/m 1'
_space_group_IT_number 11
_space_group_name_Hall '-P 2yb'
_cell_length_a 9.570
_cell_length_b 4.449
_cell_length_c 10.456
_cell_angle_alpha 90.00
_cell_angle_beta 108.77
_cell_angle_gamma 90.00
loop_
_atom_site_label
_atom_site_type_symbol
_atom_site_fract_x
_atom_site_fract_y
_atom_site_fract_z
_atom_site_occupancy
K1 K 0.208 0.250 0.255 1
Pa1 Pa 0.318 0.750 0.840 1
Ag1 Ag 0.082 0.250 0.593 1
Te1 Te 0.107 0.250 0.871 1
Te2 Te 0.242 0.750 0.537 1
Te3 Te 0.453 0.750 0.155 1
```

Results
formation energy from raw total energies = -0.80 eV per atom
density = 5.99 g/cm3
total DFT energy (no corrections) = -4.61 eV per atom
crystal system = monoclinic



Record 3
Compound: K3Pa2AgTe6
Source: the Alexandria database
Functional: PBE
Structure: optimized geometry

Cell and atoms, written as CIF:
```
data_K3Pa2AgTe6
_space_group_name_H-M_alt 'C 1 2/m 1'
_space_group_IT_number 12
_space_group_name_Hall '-C 2y'
_cell_length_a 7.772
_cell_length_b 13.454
_cell_length_c 8.663
_cell_angle_alpha 90.00
_cell_angle_beta 107.34
_cell_angle_gamma 90.00
loop_
_atom_site_label
_atom_site_type_symbol
_atom_site_fract_x
_atom_site_fract_y
_atom_site_fract_z
_atom_site_occupancy
K1 K 0.000 0.000 0.000 1
K2 K 0.000 0.337 0.000 1
Pa1 Pa 0.000 0.167 0.500 1
Ag1 Ag 0.000 0.500 0.500 1
Te1 Te 0.229 0.000 0.708 1
Te2 Te 0.240 0.330 0.709 1
```

Results
formation energy from raw total energies = -0.86 eV per atom
density = 5.58 g/cm3
total DFT energy (no corrections) = -4.52 eV per atom
crystal system = monoclinic



Record 4
Compound: KAg2Pb2
Source: the Alexandria database
Functional: PBE
Structure: optimized geometry

Cell and atoms, written as CIF:
```
data_KAg2Pb2
_space_group_name_H-M_alt 'P -1'
_space_group_IT_number 2
_space_group_name_Hall '-P 1'
_cell_length_a 6.233
_cell_length_b 7.049
_cell_length_c 8.020
_cell_angle_alpha 82.22
_cell_angle_beta 72.11
_cell_angle_gamma 64.00
loop_
_atom_site_label
_atom_site_type_symbol
_atom_site_fract_x
_atom_site_fract_y
_atom_site_fract_z
_atom_site_occupancy
K1 K 0.145 0.209 0.251 1
Ag1 Ag 0.248 0.812 0.939 1
Ag2 Ag 0.440 0.812 0.562 1
Pb1 Pb 0.143 0.216 0.749 1
Pb2 Pb 0.451 0.597 0.250 1
```

Results
formation energy from the elements = 0.004 eV per formula unit
density = 7.37 g/cm3
total DFT energy (no corrections) = -2.84 eV per atom
crystal system = triclinic
distance to the lowest polymorph of the same formula = 0.0 meV/atom



Record 5
Compound: KAgPb2
Source: the Alexandria database
Functional: PBE
Structure: optimized geometry

Cell and atoms, written as CIF:
```
data_KAgPb2
_space_group_name_H-M_alt 'P 4/m m m'
_space_group_IT_number 123
_space_group_name_Hall '-P 4 2'
_cell_length_a 3.837
_cell_length_b 3.837
_cell_length_c 8.304
_cell_angle_alpha 90.00
_cell_angle_beta 90.00
_cell_angle_gamma 90.00
loop_
_atom_site_label
_atom_site_type_symbol
_atom_site_fract_x
_atom_site_fract_y
_atom_site_fract_z
_atom_site_occupancy
K1 K 0.000 0.000 0.000 1
Ag1 Ag 0.000 0.000 0.500 1
Pb1 Pb 0.500 0.500 0.311 1
```

Results
formation energy from the elements = -0.082 eV per formula unit
density = 7.63 g/cm3
total DFT energy (no corrections) = -2.86 eV per atom
crystal system = tetragonal



Record 6
Compound: KAg2Pb2
Source: the Alexandria database
Functional: PBE
Structure: optimized geometry

Cell and atoms, written as CIF:
```
data_KAg2Pb2
_space_group_name_H-M_alt 'P 4/m b m'
_space_group_IT_number 127
_space_group_name_Hall '-P 4 2ab'
_cell_length_a 9.105
_cell_length_b 9.105
_cell_length_c 3.312
_cell_angle_alpha 90.00
_cell_angle_beta 90.00
_cell_angle_gamma 90.00
loop_
_atom_site_label
_atom_site_type_symbol
_atom_site_fract_x
_atom_site_fract_y
_atom_site_fract_z
_atom_site_occupancy
K1 K 0.000 0.000 0.000 1
Ag1 Ag 0.152 0.348 0.500 1
Pb1 Pb 0.140 0.640 0.000 1
```

Results
formation energy from the elements = 0.063 eV per formula unit
density = 8.10 g/cm3
total DFT energy (no corrections) = -2.83 eV per atom
crystal system = tetragonal
distance to the lowest polymorph of the same formula = 12.0 meV/atom



Record 7
Compound: KAgPb2
Source: the Alexandria database
Functional: PBE
Structure: optimized geometry

Cell and atoms, written as CIF:
```
data_KAgPb2
_space_group_name_H-M_alt 'P n m a'
_space_group_IT_number 62
_space_group_name_Hall '-P 2ac 2n'
_cell_length_a 9.262
_cell_length_b 8.293
_cell_length_c 6.428
_cell_angle_alpha 90.00
_cell_angle_beta 90.00
_cell_angle_gamma 90.00
loop_
_atom_site_label
_atom_site_type_symbol
_atom_site_fract_x
_atom_site_fract_y
_atom_site_fract_z
_atom_site_occupancy
K1 K 0.035 0.250 0.116 1
Ag1 Ag 0.095 0.750 0.367 1
Pb1 Pb 0.183 0.056 0.602 1
```

Results
formation energy from the elements = -0.318 eV per formula unit
density = 7.55 g/cm3
total DFT energy (no corrections) = -2.92 eV per atom
crystal system = orthorhombic



Record 8
Compound: KAgPb2
Source: the Alexandria database
Functional: PBE
Structure: optimized geometry

Cell and atoms, written as CIF:
```
data_KAgPb2
_space_group_name_H-M_alt 'I -4 m 2'
_space_group_IT_number 119
_space_group_name_Hall 'I -4 -2'
_cell_length_a 5.486
_cell_length_b 5.486
_cell_length_c 7.803
_cell_angle_alpha 90.00
_cell_angle_beta 90.00
_cell_angle_gamma 90.00
loop_
_atom_site_label
_atom_site_type_symbol
_atom_site_fract_x
_atom_site_fract_y
_atom_site_fract_z
_atom_site_occupancy
K1 K 0.000 0.000 0.000 1
Ag1 Ag 0.000 0.500 0.250 1
Pb1 Pb 0.000 0.000 0.500 1
Pb2 Pb 0.000 0.500 0.750 1
```

Results
formation energy from the elements = 0.258 eV per formula unit
density = 7.94 g/cm3
total DFT energy (no corrections) = -2.78 eV per atom
crystal system = tetragonal



Record 9
Compound: KAg2Pb
Source: the Alexandria database
Functional: PBE
Structure: optimized geometry

Cell and atoms, written as CIF:
```
data_KAg2Pb
_space_group_name_H-M_alt 'P 1 2/m 1'
_space_group_IT_number 10
_space_group_name_Hall '-P 2y'
_cell_length_a 5.559
_cell_length_b 3.384
_cell_length_c 6.148
_cell_angle_alpha 90.00
_cell_angle_beta 109.39
_cell_angle_gamma 90.00
loop_
_atom_site_label
_atom_site_type_symbol
_atom_site_fract_x
_atom_site_fract_y
_atom_site_fract_z
_atom_site_occupancy
K1 K 0.000 0.000 0.000 1
Ag1 Ag 0.000 0.000 0.500 1
Ag2 Ag 0.500 0.500 0.000 1
Pb1 Pb 0.500 0.500 0.500 1
```

Results
formation energy from the elements = 0.797 eV per formula unit
density = 7.03 g/cm3
total DFT energy (no corrections) = -2.43 eV per atom
crystal system = monoclinic



Record 10
Compound: K5AgPb6
Source: the Alexandria database
Functional: PBE
Structure: optimized geometry

Cell and atoms, written as CIF:
```
data_K5AgPb6
_space_group_name_H-M_alt 'C 1 2/m 1'
_space_group_IT_number 12
_space_group_name_Hall '-C 2y'
_cell_length_a 6.955
_cell_length_b 14.422
_cell_length_c 10.203
_cell_angle_alpha 90.00
_cell_angle_beta 109.27
_cell_angle_gamma 90.00
loop_
_atom_site_label
_atom_site_type_symbol
_atom_site_fract_x
_atom_site_fract_y
_atom_site_fract_z
_atom_site_occupancy
K1 K 0.000 0.000 0.000 1
K2 K 0.000 0.280 0.000 1
K3 K 0.000 0.355 0.500 1
Ag1 Ag 0.000 0.000 0.500 1
Pb1 Pb 0.047 0.500 0.175 1
Pb2 Pb 0.067 0.123 0.719 1
```

Results
formation energy from the elements = -0.814 eV per formula unit
density = 5.32 g/cm3
total DFT energy (no corrections) = -2.62 eV per atom
crystal system = monoclinic



Record 11
Compound: KAgPb2
Source: the Alexandria database
Functional: PBE
Structure: optimized geometry

Cell and atoms, written as CIF:
```
data_KAgPb2
_space_group_name_H-M_alt 'P 1 2/m 1'
_space_group_IT_number 10
_space_group_name_Hall '-P 2y'
_cell_length_a 3.729
_cell_length_b 4.797
_cell_length_c 7.408
_cell_angle_alpha 90.00
_cell_angle_beta 104.00
_cell_angle_gamma 90.00
loop_
_atom_site_label
_atom_site_type_symbol
_atom_site_fract_x
_atom_site_fract_y
_atom_site_fract_z
_atom_site_occupancy
K1 K 0.000 0.000 0.000 1
Ag1 Ag 0.500 0.000 0.500 1
Pb1 Pb 0.320 0.500 0.684 1
```

Results
formation energy from the elements = -0.106 eV per formula unit
density = 7.25 g/cm3
total DFT energy (no corrections) = -2.87 eV per atom
crystal system = monoclinic



Record 12
Compound: K3AgPb
Source: the Alexandria database
Functional: PBE
Structure: optimized geometry

Cell and atoms, written as CIF:
```
data_K3AgPb
_space_group_name_H-M_alt 'P 42/m n m'
_space_group_IT_number 136
_space_group_name_Hall '-P 4n 2n'
_cell_length_a 12.753
_cell_length_b 12.753
_cell_length_c 5.052
_cell_angle_alpha 90.00
_cell_angle_beta 90.00
_cell_angle_gamma 90.00
loop_
_atom_site_label
_atom_site_type_symbol
_atom_site_fract_x
_atom_site_fract_y
_atom_site_fract_z
_atom_site_occupancy
K1 K 0.006 0.320 0.000 1
K2 K 0.118 0.882 0.500 1
Ag1 Ag 0.080 0.080 0.000 1
Pb1 Pb 0.177 0.177 0.500 1
```

Results
formation energy from the elements = -0.155 eV per formula unit
density = 3.49 g/cm3
total DFT energy (no corrections) = -2.00 eV per atom
crystal system = tetragonal
distance to the lowest polymorph of the same formula = 0.0 meV/atom



Q: Which formula does entry 3 have?
A: K3Pa2AgTe6